Model one:
RuRhW2 at its PBEsol-relaxed geometry, computed with SCAN.

Results
Space group = I4/mmm (139)
D(E_F) = 2.76 states/eV/f.u.
ρ = 16.40 g cm⁻³
Total moment = 0.000 μB/atom

a = 3.8949 Å, b = 3.8949 Å, c = 7.6307 Å
α = 90.00°, β = 90.00°, γ = 90.00°
Last column: nearest neighbours and their distance in Å.
Positions (direct):
Ru (0.0000, 0.0000, 0.0000)  8 W 2.73, 4 Rh 2.75
Ru (0.5000, 0.5000, 0.5000)  8 W 2.73, 4 Rh 2.75
Rh (0.0000, 0.0000, 0.5000)  8 W 2.73, 4 Ru 2.75
Rh (0.5000, 0.5000, 0.0000)  8 W 2.73, 4 Ru 2.75
W (0.0000, 0.5000, 0.2500)  4 Ru 2.73, 4 Rh 2.73, 4 W 2.75
W (0.0000, 0.5000, 0.7500)  4 Ru 2.73, 4 Rh 2.73, 4 W 2.75
W (0.5000, 0.0000, 0.2500)  4 Ru 2.73, 4 Rh 2.73, 4 W 2.75
W (0.5000, 0.0000, 0.7500)  4 Ru 2.73, 4 Rh 2.73, 4 W 2.75

---

Model two:
RuRhW2 at its PBEsol-relaxed geometry, computed with SCAN.

Results
Space group = Pmm2 (25)
D(E_F) = 3.29 states/eV/f.u.
ρ = 16.40 g cm⁻³
Total moment = 0.000 μB/atom

a = 2.7653 Å, b = 4.4156 Å, c = 4.7416 Å
α = 90.00°, β = 90.00°, γ = 90.00°
Last column: nearest neighbours and their distance in Å.
Positions (direct):
Ru (0.0000, 0.0000, 0.0000)  8 W 2.69-2.76, 2 Ru 2.77, 2 Rh 2.79
Rh (0.0000, 0.5000, 0.3610)  8 W 2.69-2.74, 2 Rh 2.77, 2 Ru 2.79
W (0.5000, 0.0000, 0.5038)  4 Rh 2.69, 4 Ru 2.73-2.76, 4 W 2.77-2.78
W (0.5000, 0.5000, 0.8610)  4 Ru 2.69, 4 Rh 2.74, 4 W 2.77-2.78

---

Going by the energies, model one is most stable and the next is 0.045 eV/atom up.

---

Model one:
InIr2Cl at its PBEsol-relaxed geometry, computed with SCAN.

Results
Space group = I4/mmm (139)
D(E_F) = 4.68 states/eV/f.u.
ρ = 13.74 g cm⁻³
Total moment = 0.000 μB/atom

a = 4.0394 Å, b = 4.0394 Å, c = 7.9217 Å
α = 90.00°, β = 90.00°, γ = 90.00°
Last column: nearest neighbours and their distance in Å.
Positions (direct):
In (0.0000, 0.0000, 0.0000)  8 Ir 2.83, 4 Cl 2.86
In (0.5000, 0.5000, 0.5000)  8 Ir 2.83, 4 Cl 2.86
Ir (0.0000, 0.5000, 0.2500)  4 Cl 2.83, 4 In 2.83, 4 Ir 2.86
Ir (0.0000, 0.5000, 0.7500)  4 In 2.83, 4 Cl 2.83, 4 Ir 2.86
Ir (0.5000, 0.0000, 0.2500)  4 Cl 2.83, 4 In 2.83, 4 Ir 2.86
Ir (0.5000, 0.0000, 0.7500)  4 In 2.83, 4 Cl 2.83, 4 Ir 2.86
Cl (0.0000, 0.0000, 0.5000)  8 Ir 2.83, 4 In 2.86
Cl (0.5000, 0.5000, 0.0000)  8 Ir 2.83, 4 In 2.86

---

Model two:
InIr2Cl at its PBEsol-relaxed geometry, computed with SCAN.

Results
Space group = Cmm2 (35)
D(E_F) = 3.40 states/eV/f.u.
ρ = 13.00 g cm⁻³
Total moment = 0.000 μB/atom

a = 2.7979 Å, b = 5.0928 Å, c = 9.5866 Å
α = 90.00°, β = 90.00°, γ = 90.00°
Last column: nearest neighbours and their distance in Å.
Positions (direct):
In (0.0000, 0.0000, 0.0000)  6 In 2.80-2.91, 2 Ir 2.84
In (0.5000, 0.5000, 0.0000)  6 In 2.80-2.91, 2 Ir 2.84
Ir (0.0000, 0.0000, 0.4867)  2 Cl 2.43, 2 Ir 2.60
Ir (0.0000, 0.5000, 0.2577)  8 Ir 2.60-2.91, 2 In 2.84
Ir (0.5000, 0.0000, 0.2577)  8 Ir 2.60-2.91, 2 In 2.84
Ir (0.5000, 0.5000, 0.4867)  2 Cl 2.43, 2 Ir 2.60
Cl (0.0000, 0.5000, 0.6944)  2 Ir 2.43
Cl (0.5000, 0.0000, 0.6944)  2 Ir 2.43

---

Going by the energies, model two is most stable and the next is 0.394 eV/atom up.

---

Model one:
KMnMo2 at its PBEsol-relaxed geometry, computed with SCAN.

Results
Space group = Pmmm (47)
D(E_F) = 3.44 states/eV/f.u.
ρ = 5.89 g cm⁻³
Total moment = 0.216 μB/atom

a = 2.7150 Å, b = 3.5965 Å, c = 8.2513 Å
α = 90.00°, β = 90.00°, γ = 90.00°
Last column: nearest neighbours and their distance in Å.
Positions (direct):
K (0.0000, 0.0000, 0.0000)  2 K 2.72
Mn (0.0000, 0.0000, 0.5000)  8 Mo 2.55, 2 Mn 2.72
Mo (0.5000, 0.5000, 0.3557)  1 Mo 2.38, 4 Mn 2.55
Mo (0.5000, 0.5000, 0.6443)  1 Mo 2.38, 4 Mn 2.55

---

Model two:
KMnMo2 at its PBEsol-relaxed geometry, computed with SCAN.

Results
Space group = F-43m (216)
D(E_F) = 3.19 states/eV/f.u.
ρ = 6.89 g cm⁻³
Total moment = 0.972 μB/atom

a = 6.5072 Å, b = 6.5072 Å, c = 6.5072 Å
α = 90.00°, β = 90.00°, γ = 90.00°
Last column: nearest neighbours and their distance in Å.
Positions (direct):
K (0.0000, 0.0000, 0.0000)  4 Mn 2.82, 4 Mo 2.82
K (0.0000, 0.5000, 0.5000)  4 Mn 2.82, 4 Mo 2.82
K (0.5000, 0.0000, 0.5000)  4 Mn 2.82, 4 Mo 2.82
K (0.5000, 0.5000, 0.0000)  4 Mn 2.82, 4 Mo 2.82
Mn (0.2500, 0.2500, 0.7500)  4 Mo 2.82, 4 K 2.82
Mn (0.2500, 0.7500, 0.2500)  4 Mo 2.82, 4 K 2.82
Mn (0.7500, 0.2500, 0.2500)  4 Mo 2.82, 4 K 2.82
Mn (0.7500, 0.7500, 0.7500)  4 Mo 2.82, 4 K 2.82
Mo (0.0000, 0.0000, 0.5000)  4 Mn 2.82, 4 Mo 2.82
Mo (0.0000, 0.5000, 0.0000)  4 Mn 2.82, 4 Mo 2.82
Mo (0.2500, 0.2500, 0.2500)  4 Mo 2.82, 4 K 2.82
Mo (0.2500, 0.7500, 0.7500)  4 Mo 2.82, 4 K 2.82
Mo (0.5000, 0.0000, 0.0000)  4 Mn 2.82, 4 Mo 2.82
Mo (0.5000, 0.5000, 0.5000)  4 Mn 2.82, 4 Mo 2.82
Mo (0.7500, 0.2500, 0.7500)  4 Mo 2.82, 4 K 2.82
Mo (0.7500, 0.7500, 0.2500)  4 Mo 2.82, 4 K 2.82

---

Going by the energies, model one is most stable and the next is 0.466 eV/atom up.

---

Model one:
Re3P at its PBEsol-relaxed geometry, computed with SCAN.

Results
Space group = Pm-3m (221)
D(E_F) = 5.12 states/eV/f.u.
ρ = 17.55 g cm⁻³
Total moment = 0.000 μB/atom

a = 3.8207 Å, b = 3.8207 Å, c = 3.8207 Å
α = 90.00°, β = 90.00°, γ = 90.00°
Last column: nearest neighbours and their distance in Å.
Positions (direct):
Re (0.0000, 0.0000, 0.5000)  8 Re 2.70, 4 P 2.70
Re (0.0000, 0.5000, 0.0000)  8 Re 2.70, 4 P 2.70
Re (0.5000, 0.0000, 0.0000)  8 Re 2.70, 4 P 2.70
P (0.5000, 0.5000, 0.5000)  12 Re 2.70

---

Model two:
Re3P at its PBEsol-relaxed geometry, computed with SCAN.

Results
Space group = P-6m2 (187)
D(E_F) = 1.66 states/eV/f.u.
ρ = 17.52 g cm⁻³
Total moment = 0.000 μB/atom

a = 2.9116 Å, b = 2.9116 Å, c = 7.6118 Å
α = 90.00°, β = 90.00°, γ = 120.00°
Last column: nearest neighbours and their distance in Å.
Positions (direct):
Re (0.0000, 0.0000, 0.0000)  12 Re 2.71-2.91
Re (0.3333, 0.6667, 0.2799)  3 P 2.37
Re (0.3333, 0.6667, 0.7201)  3 P 2.37
P (0.0000, 0.0000, 0.5000)  6 Re 2.37

---

Going by the energies, model two is most stable and the next is 0.827 eV/atom up.

---

Model one:
CoOsRh2 at its PBEsol-relaxed geometry, computed with SCAN.

Results
Space group = Pmm2 (25)
D(E_F) = 3.76 states/eV/f.u.
ρ = 14.74 g cm⁻³
Total moment = 0.406 μB/atom

a = 2.6405 Å, b = 3.6848 Å, c = 5.2690 Å
α = 90.00°, β = 90.00°, γ = 90.00°
Last column: nearest neighbours and their distance in Å.
Positions (direct):
Co (0.0000, 0.0000, 0.0000)  6 Rh 2.57-2.70, 4 Os 2.58, 2 Co 2.64
Os (0.5000, 0.5000, 0.2341)  6 Rh 2.52-2.75, 4 Co 2.58, 2 Os 2.64
Rh (0.0000, 0.0000, 0.4872)  2 Co 2.57-2.70, 4 Os 2.63, 6 Rh 2.64-2.67
Rh (0.5000, 0.5000, 0.7558)  2 Os 2.52-2.75, 4 Co 2.61, 6 Rh 2.64-2.67

---

Model two:
CoOsRh2 at its PBEsol-relaxed geometry, computed with SCAN.

Results
Space group = R-3m (166)
D(E_F) = 4.14 states/eV/f.u.
ρ = 14.56 g cm⁻³
Total moment = 0.546 μB/atom

a = 2.6552 Å, b = 2.6552 Å, c = 25.4971 Å
α = 90.00°, β = 90.00°, γ = 120.00°
Last column: nearest neighbours and their distance in Å.
Positions (direct):
Co (0.0000, 0.0000, 0.0000)  6 Rh 2.57, 6 Co 2.66
Co (0.3333, 0.6667, 0.6667)  6 Rh 2.57, 6 Co 2.66
Co (0.6667, 0.3333, 0.3333)  6 Rh 2.57, 6 Co 2.66
Os (0.0000, 0.0000, 0.5000)  6 Os 2.66, 6 Rh 2.67
Os (0.3333, 0.6667, 0.1667)  6 Os 2.66, 6 Rh 2.67
Os (0.6667, 0.3333, 0.8333)  6 Os 2.66, 6 Rh 2.67
Rh (0.0000, 0.0000, 0.2524)  3 Co 2.57, 6 Rh 2.66, 3 Os 2.67
Rh (0.0000, 0.0000, 0.7476)  3 Co 2.57, 6 Rh 2.66, 3 Os 2.67
Rh (0.3333, 0.6667, 0.4142)  3 Co 2.57, 6 Rh 2.66, 3 Os 2.67
Rh (0.3333, 0.6667, 0.9191)  3 Co 2.57, 6 Rh 2.66, 3 Os 2.67
Rh (0.6667, 0.3333, 0.0809)  3 Co 2.57, 6 Rh 2.66, 3 Os 2.67
Rh (0.6667, 0.3333, 0.5858)  3 Co 2.57, 6 Rh 2.66, 3 Os 2.67

---

Going by the energies, model two is most stable and the next is 0.016 eV/atom up.

---

Model one:
Mg2SbPb at its PBEsol-relaxed geometry, computed with SCAN.

Results
Space group = I4/mmm (139)
D(E_F) = 1.67 states/eV/f.u.
ρ = 6.40 g cm⁻³
Total moment = 0.000 μB/atom

a = 4.8224 Å, b = 4.8224 Å, c = 8.4185 Å
α = 90.00°, β = 90.00°, γ = 90.00°
Last column: nearest neighbours and their distance in Å.
Positions (direct):
Mg (0.0000, 0.5000, 0.2500)  4 Pb 3.20, 4 Sb 3.20, 4 Mg 3.41
Mg (0.0000, 0.5000, 0.7500)  4 Pb 3.20, 4 Sb 3.20, 4 Mg 3.41
Mg (0.5000, 0.0000, 0.2500)  4 Pb 3.20, 4 Sb 3.20, 4 Mg 3.41
Mg (0.5000, 0.0000, 0.7500)  4 Pb 3.20, 4 Sb 3.20, 4 Mg 3.41
Sb (0.0000, 0.0000, 0.0000)  8 Mg 3.20, 4 Pb 3.41
Sb (0.5000, 0.5000, 0.5000)  8 Mg 3.20, 4 Pb 3.41
Pb (0.0000, 0.0000, 0.5000)  8 Mg 3.20, 4 Sb 3.41
Pb (0.5000, 0.5000, 0.0000)  8 Mg 3.20, 4 Sb 3.41

---

Model two:
Mg2SbPb at its PBEsol-relaxed geometry, computed with SCAN.

Results
Space group = Cm (8)
D(E_F) = 1.12 states/eV/f.u.
ρ = 6.36 g cm⁻³
Total moment = 0.000 μB/atom

a = 11.6493 Å, b = 3.4661 Å, c = 5.1541 Å
α = 90.00°, β = 108.57°, γ = 90.00°
Last column: nearest neighbours and their distance in Å.
Positions (direct):
Mg (0.0000, 0.0000, 0.0000)  3 Sb 3.08-3.27, 4 Pb 3.09-3.12, 1 Mg 3.43
Mg (0.2481, 0.5000, 0.4297)  4 Sb 3.07-3.14, 3 Pb 3.07-3.28, 1 Mg 3.43
Mg (0.5000, 0.5000, 0.0000)  3 Sb 3.08-3.27, 4 Pb 3.09-3.12, 1 Mg 3.43
Mg (0.7481, 0.0000, 0.4297)  4 Sb 3.07-3.14, 3 Pb 3.07-3.28, 1 Mg 3.43
Sb (0.2551, 0.0000, 0.9437)  7 Mg 3.07-3.27, 1 Pb 3.28
Sb (0.7551, 0.5000, 0.9437)  7 Mg 3.07-3.27, 1 Pb 3.28
Pb (0.4947, 0.0000, 0.4922)  7 Mg 3.07-3.28, 1 Sb 3.28
Pb (0.9947, 0.5000, 0.4922)  7 Mg 3.07-3.28, 1 Sb 3.28

---

Going by the energies, model two is most stable and the next is 0.008 eV/atom up.